! LiZrSi2 | Alexandria via LeMat-Bulk | PBE | relaxed; values from VASP
! Spin magnetization ... 0.00 μB per cell
! SG ... Cmmm
! Energy above the most stable polymorph in this dataset ... 81 meV per atom
&SYSTEM
  ibrav = 0, nat = 4, ntyp = 3
/
ATOMIC_SPECIES
Li 6.94 Li.upf
Si 28.09 Si.upf
Zr 91.22 Zr.upf
ATOMIC_POSITIONS angstrom
Li -0.8132 2.3308 1.4213
Si 0.0000 0.0000 0.0000
Si 1.6552 2.3026 0.0000
Zr 2.4684 -0.0282 1.4213
CELL_PARAMETERS angstrom
4.9368 -0.0564 0.0000
-1.6264 4.6616 0.0000
0.0000 0.0000 2.8425